No. 1
DFT (GGA-PBE) results for a geometry-optimized BePt2Se structure.

## Properties
- Mass density: 13.3 g/cm3
- Total energy: -19.07 eV per cell
- N(E_F): 2.31 states/eV/f.u.
- ΔE to the lowest computed polymorph: 1.19 eV/f.u.
- Space-group type: I-4m2 (119)
- Magnetic moment: 0.000 μB/atom

a = 5.0562 Å, b = 5.0562 Å, c = 5.0562 Å
α = 136.86°, β = 136.86°, γ = 62.65°
With the nearest neighbours (Å) after each atom.
Fractional coordinates of all 4 atoms:
Be 0.0000 0.0000 0.0000  8 Pt 2.63-2.85, 4 Se 2.85
Pt 0.2500 0.7500 0.5000  4 Se 2.63, 4 Pt 2.85, 4 Be 2.85
Pt 0.5000 0.5000 0.0000  4 Be 2.63, 4 Pt 2.85, 4 Se 2.85
Se 0.7500 0.2500 0.5000  8 Pt 2.63-2.85, 4 Be 2.85

No. 2
DFT (GGA-PBE) results for a geometry-optimized NbTlCd2 structure.

## Properties
- Mass density: 9.3 g/cm3
- ΔH_f (0 K): 54.2 kJ/mol of atoms
- Total energy: -24.04 eV per cell
- N(E_F): 0.50 states/eV/f.u.
- ΔE to the lowest computed polymorph: 0.08 eV/f.u.
- Space-group type: I-42d (122)
- Magnetic moment: 0.000 μB/atom

a = 6.3554 Å, b = 6.3554 Å, c = 6.3554 Å
α = 102.38°, β = 102.38°, γ = 124.84°
With the nearest neighbours (Å) after each atom.
Fractional coordinates of all 8 atoms:
Nb 0.0000 0.0000 0.0000  4 Cd 2.89, 2 Tl 2.94
Nb 0.7500 0.2500 0.5000  4 Cd 2.89, 2 Tl 2.94
Tl 0.2500 0.7500 0.5000  4 Cd 2.93, 2 Nb 2.94
Tl 0.5000 0.5000 0.0000  4 Cd 2.93, 2 Nb 2.94
Cd 0.1213 0.6250 0.9963  2 Nb 2.89, 2 Tl 2.93, 2 Cd 2.94
Cd 0.3750 0.3713 0.4963  2 Nb 2.89, 2 Tl 2.93, 2 Cd 2.94
Cd 0.6287 0.1250 0.0037  2 Nb 2.89, 2 Tl 2.93, 2 Cd 2.94
Cd 0.8750 0.8787 0.5037  2 Nb 2.89, 2 Tl 2.93, 2 Cd 2.94

No. 3
DFT (GGA-PBE) results for a geometry-optimized BaCdSnAu6 structure.

## Properties
- Mass density: 9.9 g/cm3
- ΔH_f (0 K): -9.8 kJ/mol of atoms
- Total energy: -54.84 eV per cell
- N(E_F): 3.64 states/eV/f.u.
- Space-group type: Imma (74)
- Magnetic moment: 0.000 μB/atom

a = 9.4057 Å, b = 9.4057 Å, c = 9.4057 Å
α = 131.03°, β = 120.78°, γ = 80.32°
With the nearest neighbours (Å) after each atom.
Fractional coordinates of all 18 atoms:
Ba 0.3740 0.1240 0.2500  5 Au 3.35-3.36
Ba 0.6260 0.8760 0.7500  5 Au 3.35-3.36
Cd 0.0000 0.0000 0.5000  6 Au 2.74-2.81
Cd 0.0000 0.5000 0.0000  6 Au 2.74-2.81
Sn 0.0000 0.5000 0.5000  6 Au 2.75-2.81
Sn 0.5000 0.5000 0.0000  6 Au 2.75-2.81
Au 0.1405 0.8905 0.2500  2 Cd 2.81
Au 0.1657 0.4680 0.3135  3 Au 2.74-3.00, 1 Cd 2.74, 1 Sn 2.75
Au 0.1657 0.8522 0.6977  3 Au 2.74-3.00, 1 Cd 2.74, 1 Sn 2.75
Au 0.3455 0.1478 0.8135  3 Au 2.74-3.00, 1 Cd 2.74, 1 Sn 2.75
Au 0.3455 0.5320 0.1977  3 Au 2.74-3.00, 1 Cd 2.74, 1 Sn 2.75
Au 0.3603 0.6103 0.7500  2 Sn 2.81, 4 Au 2.81
Au 0.6397 0.3897 0.2500  2 Sn 2.81, 4 Au 2.81
Au 0.6545 0.4680 0.8023  3 Au 2.74-3.00, 1 Cd 2.74, 1 Sn 2.75
Au 0.6545 0.8522 0.1865  3 Au 2.74-3.00, 1 Cd 2.74, 1 Sn 2.75
Au 0.8343 0.1478 0.3023  3 Au 2.74-3.00, 1 Cd 2.74, 1 Sn 2.75
Au 0.8343 0.5320 0.6865  3 Au 2.74-3.00, 1 Cd 2.74, 1 Sn 2.75
Au 0.8595 0.1095 0.7500  2 Cd 2.81

No. 4
DFT (GGA-PBE) results for a geometry-optimized LiThPb2 structure.

## Properties
- Mass density: 9.5 g/cm3
- ΔH_f (0 K): -22.2 kJ/mol of atoms
- Total energy: -17.67 eV per cell
- N(E_F): 3.99 states/eV/f.u.
- ΔE to the lowest computed polymorph: 0.16 eV/f.u.
- Space-group type: P4/mmm (123)
- Magnetic moment: 0.000 μB/atom

a = 5.6619 Å, b = 5.6619 Å, c = 3.5658 Å
α = 90.00°, β = 90.00°, γ = 90.00°
With the nearest neighbours (Å) after each atom.
Fractional coordinates of all 4 atoms:
Li 0.0000 0.0000 0.0000  8 Pb 3.35, 2 Li 3.57
Th 0.5000 0.5000 0.0000  8 Pb 3.35, 2 Th 3.57
Pb 0.0000 0.5000 0.5000  4 Th 3.35, 4 Li 3.35, 2 Pb 3.57
Pb 0.5000 0.0000 0.5000  4 Th 3.35, 4 Li 3.35, 2 Pb 3.57

No. 5
DFT (GGA-PBE) results for a geometry-optimized MgTe2RhN structure.

## Properties
- Mass density: 6.0 g/cm3
- Total energy: -18.88 eV per cell
- N(E_F): 6.13 states/eV/f.u.
- ΔE to the lowest computed polymorph: 3.97 eV/f.u.
- Space-group type: P4/mmm (123)
- Magnetic moment: 0.338 μB/atom

a = 5.4154 Å, b = 5.4154 Å, c = 3.7573 Å
α = 90.00°, β = 90.00°, γ = 90.00°
With the nearest neighbours (Å) after each atom.
Fractional coordinates of all 5 atoms:
Mg 0.0000 0.0000 0.0000  2 N 1.88
Te 0.0000 0.5000 0.0000  2 Mg 2.71
Te 0.5000 0.0000 0.0000  2 Mg 2.71
Rh 0.5000 0.5000 0.5000  8 Te 3.30
N 0.0000 0.0000 0.5000  2 Mg 1.88

No. 6
DFT (GGA-PBE) results for a geometry-optimized EuYIr4 structure.

## Properties
- Mass density: 15.1 g/cm3
- ΔH_f (0 K): -61.2 kJ/mol of atoms
- Total energy: -55.99 eV per cell
- N(E_F): 12.36 states/eV/f.u.
- Space-group type: F-43m (216)
- Magnetic moment: 1.058 μB/atom

a = 5.3924 Å, b = 5.3924 Å, c = 5.3924 Å
α = 60.00°, β = 60.00°, γ = 60.00°
With the nearest neighbours (Å) after each atom.
Fractional coordinates of all 6 atoms:
Eu 0.0000 0.0000 0.0000  12 Ir 3.16, 4 Y 3.30
Y 0.2500 0.2500 0.2500  12 Ir 3.16, 4 Eu 3.30
Ir 0.1253 0.6249 0.6249  6 Ir 2.69-2.70
Ir 0.6249 0.1253 0.6249  6 Ir 2.69-2.70
Ir 0.6249 0.6249 0.1253  6 Ir 2.69-2.70
Ir 0.6249 0.6249 0.6249  6 Ir 2.69-2.70

No. 7
DFT (GGA-PBE) results for a geometry-optimized VFe2Au structure.

## Properties
- Mass density: 10.8 g/cm3
- ΔH_f (0 K): 13.4 kJ/mol of atoms
- Total energy: -28.77 eV per cell
- N(E_F): 5.94 states/eV/f.u.
- ΔE to the lowest computed polymorph: 0.48 eV/f.u.
- Space-group type: Fm-3m (225)
- Magnetic moment: 0.883 μB/atom

a = 4.2806 Å, b = 4.2806 Å, c = 4.2806 Å
α = 60.00°, β = 60.00°, γ = 60.00°
With the nearest neighbours (Å) after each atom.
Fractional coordinates of all 4 atoms:
V 0.0000 0.0000 0.0000  8 Fe 2.62
Fe 0.2500 0.2500 0.2500  4 Au 2.62, 4 V 2.62
Fe 0.7500 0.7500 0.7500  4 V 2.62, 4 Au 2.62
Au 0.5000 0.5000 0.5000  8 Fe 2.62

No. 8
DFT (GGA-PBE) results for a geometry-optimized K2RbS structure.

## Properties
- Mass density: 1.5 g/cm3
- Total energy: -9.94 eV per cell
- N(E_F): 1.32 states/eV/f.u.
- Space-group type: R-3m (166)
- Magnetic moment: 0.000 μB/atom

a = 10.7884 Å, b = 10.7884 Å, c = 10.7884 Å
α = 26.67°, β = 26.67°, γ = 26.67°
With the nearest neighbours (Å) after each atom.
Fractional coordinates of all 4 atoms:
K 0.2055 0.2055 0.2055  3 S 3.12
K 0.7945 0.7945 0.7945  3 S 3.12
Rb 0.0000 0.0000 0.0000  6 K 4.91, 6 Rb 4.98
S 0.5000 0.5000 0.5000  6 K 3.12

No. 9
DFT (GGA-PBE) results for a geometry-optimized La2TmP3Ir12 structure.

## Properties
- Mass density: 15.1 g/cm3
- ΔH_f (0 K): -7.8 kJ/mol of atoms
- Total energy: -138.35 eV per cell
- N(E_F): 11.81 states/eV/f.u.
- Space-group type: R-3m (166)
- Magnetic moment: 0.000 μB/atom

a = 6.8184 Å, b = 6.8184 Å, c = 6.8184 Å
α = 84.32°, β = 84.32°, γ = 84.32°
With the nearest neighbours (Å) after each atom.
Fractional coordinates of all 18 atoms:
La 0.1261 0.1261 0.1261  3 Ir 2.64
La 0.8739 0.8739 0.8739  3 Ir 2.64
Tm 0.5000 0.5000 0.5000  6 Ir 2.69
P 0.0000 0.5000 0.5000  2 Ir 2.24
P 0.5000 0.0000 0.5000  2 Ir 2.24
P 0.5000 0.5000 0.0000  2 Ir 2.24
Ir 0.1295 0.1295 0.6012  2 P 2.64, 1 Ir 2.68
Ir 0.1295 0.6012 0.1295  2 P 2.64, 1 Ir 2.68
Ir 0.1681 0.6763 0.6763  1 P 2.24
Ir 0.3237 0.3237 0.8319  1 P 2.24
Ir 0.3237 0.8319 0.3237  1 P 2.24
Ir 0.3988 0.8705 0.8705  2 P 2.64, 1 Ir 2.68
Ir 0.6012 0.1295 0.1295  2 P 2.64, 1 Ir 2.68
Ir 0.6763 0.1681 0.6763  1 P 2.24
Ir 0.6763 0.6763 0.1681  1 P 2.24
Ir 0.8319 0.3237 0.3237  1 P 2.24
Ir 0.8705 0.3988 0.8705  2 P 2.64, 1 Ir 2.68
Ir 0.8705 0.8705 0.3988  2 P 2.64, 1 Ir 2.68

No. 10
DFT (GGA-PBE) results for a geometry-optimized NaTaGa2O6 structure.

## Properties
- Mass density: 5.0 g/cm3
- Total energy: -140.74 eV per cell
- N(E_F): 0.00 states/eV/f.u.
- Space-group type: C2/c (15)
- Magnetic moment: 0.000 μB/atom

a = 7.3401 Å, b = 7.3401 Å, c = 6.0870 Å
α = 105.78°, β = 105.78°, γ = 100.64°
With the nearest neighbours (Å) after each atom.
Fractional coordinates of all 20 atoms:
Na 0.1045 0.8955 0.7500  6 O 2.44-2.66
Na 0.8955 0.1045 0.2500  6 O 2.44-2.66
Ta 0.1899 0.8101 0.2500  4 O 1.87
Ta 0.8101 0.1899 0.7500  4 O 1.87
Ga 0.2963 0.4401 0.8258  4 O 1.88-1.99
Ga 0.4401 0.2963 0.3258  4 O 1.88-1.99
Ga 0.5599 0.7037 0.6742  4 O 1.88-1.99
Ga 0.7037 0.5599 0.1742  4 O 1.88-1.99
O 0.0490 0.2206 0.6915  1 Ta 1.87, 1 Ga 1.99
O 0.1691 0.6271 0.9569  1 Ta 1.87, 1 Ga 1.92
O 0.2206 0.0490 0.1915  1 Ta 1.87, 1 Ga 1.99
O 0.3271 0.4411 0.5296  2 Ga 1.88
O 0.3729 0.8309 0.5431  1 Ta 1.87, 1 Ga 1.92
O 0.4411 0.3271 0.0296  2 Ga 1.88
O 0.5589 0.6729 0.9704  2 Ga 1.88
O 0.6271 0.1691 0.4569  1 Ta 1.87, 1 Ga 1.92
O 0.6729 0.5589 0.4704  2 Ga 1.88
O 0.7794 0.9510 0.8085  1 Ta 1.87, 1 Ga 1.99
O 0.8309 0.3729 0.0431  1 Ta 1.87, 1 Ga 1.92
O 0.9510 0.7794 0.3085  1 Ta 1.87, 1 Ga 1.99